No. 1
This record from Alexandria via LeMat-Bulk describes a crystal of Ba2ZnIr relaxed with PBEsol. The functional is meta-GGA SCAN.

Lattice parameters (Å, degrees): 4.4900 4.4900 8.2751 74.26 74.26 60.00
Closest atoms and distances in Å follow each position.
Positions (direct):
Ba1 0.2344 0.2344 0.2967  3 Ir 3.05
Ba2 0.7656 0.7656 0.7033  3 Ir 3.05
Zn1 0.0000 0.0000 0.0000  6 Ba 3.49
Ir1 0.5000 0.5000 0.5000  6 Ba 3.05

* total magnetic moment: 0.0 Bohr magnetons per cell
* E: -163.4 eV per formula unit

---

No. 2
This record from Alexandria via LeMat-Bulk describes a crystal of BaLi2ReAg relaxed with PBEsol. The functional is meta-GGA SCAN.

Lattice parameters (Å, degrees): 5.0446 5.0446 5.4705 90.00 90.00 90.00
Closest atoms and distances in Å follow each position.
Positions (direct):
Li1 0.5000 0.0000 0.0000  2 Re 2.52
Li2 0.0000 0.5000 0.0000  2 Re 2.52
Ag1 0.5000 0.5000 0.5000  4 Ba 3.57, 8 Li 3.72
Re1 0.0000 0.0000 0.0000  4 Li 2.52, 2 Ba 2.74
Ba1 0.0000 0.0000 0.5000  2 Re 2.74

* total magnetic moment: 1.4 Bohr magnetons per cell
* E: -141.0 eV per formula unit